(1)
! LuGaCo2 PBE optimized geometry; values from VASP
&SYSTEM
  ibrav = 0, nat = 4, ntyp = 3
/
ATOMIC_SPECIES
Ga 69.72 Ga.upf
Co 58.93 Co.upf
Lu 174.97 Lu.upf
ATOMIC_POSITIONS crystal
Ga 0.5000 0.5000 0.0000
Co 0.0000 0.0000 0.2150
Co 0.0000 0.0000 0.7850
Lu 0.5000 0.5000 0.5000
CELL_PARAMETERS angstrom
-0.7312 2.4731 1.7540
-2.6946 0.2971 -1.5423
-2.6664 -3.6004 3.9650
! **E_tot**: -0.2092 hartree per atom
! **D(E_F)**: 2.45 states/eV per cell

***

(2)
! Lu2Ga9Co3 PBE optimized geometry; values from VASP
&SYSTEM
  ibrav = 0, nat = 28, ntyp = 3
/
ATOMIC_SPECIES
Co 58.93 Co.upf
Ga 69.72 Ga.upf
Lu 174.97 Lu.upf
ATOMIC_POSITIONS crystal
Co 0.3289 0.6711 0.0000
Co 0.0000 0.0000 0.5000
Co 0.3289 0.6711 0.5000
Co 0.0000 0.0000 0.0000
Co 0.6711 0.3289 0.5000
Co 0.6711 0.3289 0.0000
Ga 0.6659 0.0012 0.4269
Ga 0.5522 0.3366 0.7500
Ga 0.8811 0.8811 0.2500
Ga 0.0012 0.6659 0.4269
Ga 0.4478 0.6634 0.2500
Ga 0.0012 0.6659 0.0731
Ga 0.3326 0.3326 0.4401
Ga 0.9988 0.3341 0.9269
Ga 0.6634 0.4478 0.2500
Ga 0.6674 0.6674 0.5599
Ga 0.1189 0.1189 0.7500
Ga 0.3366 0.5522 0.7500
Ga 0.9988 0.3341 0.5731
Ga 0.6659 0.0012 0.0731
Ga 0.3341 0.9988 0.9269
Ga 0.3326 0.3326 0.0599
Ga 0.6674 0.6674 0.9401
Ga 0.3341 0.9988 0.5731
Lu 0.3316 0.0027 0.2500
Lu 0.0027 0.3316 0.2500
Lu 0.9973 0.6684 0.7500
Lu 0.6684 0.9973 0.7500
CELL_PARAMETERS angstrom
-1.8685 -2.3535 6.6709
6.5722 -1.6789 -2.7419
3.5484 7.7829 3.7398
! **E_tot**: -0.1683 hartree per atom
! **D(E_F)**: 13.17 states/eV per cell

***

(3)
! LuGaCo PBE optimized geometry; values from VASP
&SYSTEM
  ibrav = 0, nat = 3, ntyp = 3
/
ATOMIC_SPECIES
Co 58.93 Co.upf
Lu 174.97 Lu.upf
Ga 69.72 Ga.upf
ATOMIC_POSITIONS crystal
Co 0.1667 0.3333 0.6667
Lu 0.6666 0.6667 0.3333
Ga 0.1666 0.0000 0.0000
CELL_PARAMETERS angstrom
3.4817 0.0000 0.0000
0.0000 4.1905 0.0000
0.0000 -2.0953 3.6291
! **E_tot**: -0.1954 hartree per atom
! **D(E_F)**: 2.29 states/eV per cell

***

(4)
! Lu3Ga5Co PBE optimized geometry; values from VASP
&SYSTEM
  ibrav = 0, nat = 9, ntyp = 3
/
ATOMIC_SPECIES
Co 58.93 Co.upf
Ga 69.72 Ga.upf
Lu 174.97 Lu.upf
ATOMIC_POSITIONS crystal
Co 0.0000 0.0000 0.0000
Ga 0.3333 0.6667 0.5000
Ga 0.7674 0.7674 0.5000
Ga 0.2326 0.0000 0.5000
Ga 0.6667 0.3333 0.5000
Ga 0.0000 0.2326 0.5000
Lu 0.4036 0.4036 0.0000
Lu 0.0000 0.5964 0.0000
Lu 0.5964 0.0000 0.0000
CELL_PARAMETERS angstrom
-1.9519 -4.3654 4.7990
6.5906 0.8891 -1.2925
0.1446 3.0608 2.8431
! **E_tot**: -0.1689 hartree per atom
! **D(E_F)**: 2.45 states/eV per cell

***

(5)
! LuGaCo PBE optimized geometry; values from VASP
&SYSTEM
  ibrav = 0, nat = 3, ntyp = 3
/
ATOMIC_SPECIES
Co 58.93 Co.upf
Lu 174.97 Lu.upf
Ga 69.72 Ga.upf
ATOMIC_POSITIONS crystal
Co 0.3131 0.3131 0.6262
Lu 0.9889 0.9889 0.9779
Ga 0.6980 0.6980 0.3959
CELL_PARAMETERS angstrom
3.1611 0.0000 0.0000
0.0000 3.1611 0.0000
-1.5805 -1.5805 5.0657
! **E_tot**: -0.1921 hartree per atom
! **D(E_F)**: 1.88 states/eV per cell

***

(6)
! Lu2Ga3Co PBE optimized geometry; values from VASP
&SYSTEM
  ibrav = 0, nat = 12, ntyp = 3
/
ATOMIC_SPECIES
Ga 69.72 Ga.upf
Lu 174.97 Lu.upf
Co 58.93 Co.upf
ATOMIC_POSITIONS crystal
Ga 0.3274 0.1637 0.2500
Ga 0.1637 0.3274 0.7500
Ga 0.8363 0.1637 0.2500
Ga 0.1637 0.8363 0.7500
Ga 0.8363 0.6726 0.2500
Ga 0.6726 0.8363 0.7500
Lu 0.6667 0.3333 0.5524
Lu 0.6667 0.3333 0.9476
Lu 0.3333 0.6667 0.4476
Lu 0.3333 0.6667 0.0524
Co 0.0000 0.0000 0.0000
Co 0.0000 0.0000 0.5000
CELL_PARAMETERS angstrom
5.3913 -0.0001 0.0000
-2.6957 4.6689 0.0000
0.0000 0.0000 8.3504
! **E_tot**: -0.1741 hartree per atom
! **D(E_F)**: 6.52 states/eV per cell

***

(7)
! LuGa2Co PBE optimized geometry; values from VASP
&SYSTEM
  ibrav = 0, nat = 4, ntyp = 3
/
ATOMIC_SPECIES
Co 58.93 Co.upf
Ga 69.72 Ga.upf
Lu 174.97 Lu.upf
ATOMIC_POSITIONS crystal
Co 0.5000 0.5000 0.0000
Ga 0.0000 0.0000 0.1950
Ga 0.0000 0.0000 0.8050
Lu 0.5000 0.5000 0.5000
CELL_PARAMETERS angstrom
-1.3942 2.3969 -1.3939
-1.1953 -1.9273 -2.1185
-5.4900 -0.9104 3.9258
! **E_tot**: -0.1745 hartree per atom
! **D(E_F)**: 2.38 states/eV per cell

***

(8)
! LuGa2Co PBE optimized geometry; values from VASP
&SYSTEM
  ibrav = 0, nat = 4, ntyp = 3
/
ATOMIC_SPECIES
Ga 69.72 Ga.upf
Lu 174.97 Lu.upf
Co 58.93 Co.upf
ATOMIC_POSITIONS crystal
Ga 0.2140 0.2140 0.3579
Ga 0.7860 0.7860 0.6421
Lu 0.0000 0.0000 0.0000
Co 0.5000 0.5000 0.5000
CELL_PARAMETERS angstrom
4.0582 0.0000 0.0000
2.0291 3.5145 0.0000
2.0291 1.1715 4.8738
! **E_tot**: -0.1781 hartree per atom
! **D(E_F)**: 3.59 states/eV per cell

***

(9)
! LuMgGaCo PBE optimized geometry; values from VASP
&SYSTEM
  ibrav = 0, nat = 4, ntyp = 4
/
ATOMIC_SPECIES
Lu 174.97 Lu.upf
Ga 69.72 Ga.upf
Co 58.93 Co.upf
Mg 24.30 Mg.upf
ATOMIC_POSITIONS crystal
Lu 0.5000 0.5000 0.5000
Ga 0.2500 0.2500 0.2500
Co 0.7500 0.7500 0.7500
Mg 0.0000 0.0000 0.0000
CELL_PARAMETERS angstrom
4.6488 0.0000 0.0000
2.3244 4.0259 0.0000
2.3244 1.3420 3.7957
! **E_tot**: -0.1564 hartree per atom
! **D(E_F)**: 2.27 states/eV per cell

***

(10)
! NdLuGaCo PBE optimized geometry; values from VASP
&SYSTEM
  ibrav = 0, nat = 4, ntyp = 4
/
ATOMIC_SPECIES
Ga 69.72 Ga.upf
Lu 174.97 Lu.upf
Co 58.93 Co.upf
Nd 144.24 Nd.upf
ATOMIC_POSITIONS crystal
Ga 0.2500 0.2500 0.2500
Lu 0.0000 0.0000 0.0000
Co 0.7500 0.7500 0.7500
Nd 0.5000 0.5000 0.5000
CELL_PARAMETERS angstrom
-1.8298 -4.3600 1.5006
1.4534 -1.9429 4.3269
-3.1567 -0.1818 3.8225
! **E_tot**: -0.1883 hartree per atom
! **D(E_F)**: 2.56 states/eV per cell

***

(11)
! LuGaCoNi PBE optimized geometry; values from VASP
&SYSTEM
  ibrav = 0, nat = 4, ntyp = 4
/
ATOMIC_SPECIES
Ga 69.72 Ga.upf
Lu 174.97 Lu.upf
Co 58.93 Co.upf
Ni 58.69 Ni.upf
ATOMIC_POSITIONS crystal
Ga 0.2500 0.2500 0.2500
Lu 0.7500 0.7500 0.7500
Co 0.5000 0.5000 0.5000
Ni 0.0000 0.0000 0.0000
CELL_PARAMETERS angstrom
-2.7382 -0.1961 3.3895
-3.6876 -2.3093 -0.3062
-0.4371 -3.7181 2.2383
! **E_tot**: -0.2019 hartree per atom
! **D(E_F)**: 3.03 states/eV per cell

***

(12)
! LuPaGaCo PBE optimized geometry; values from VASP
&SYSTEM
  ibrav = 0, nat = 4, ntyp = 4
/
ATOMIC_SPECIES
Co 58.93 Co.upf
Lu 174.97 Lu.upf
Pa 231.04 Pa.upf
Ga 69.72 Ga.upf
ATOMIC_POSITIONS crystal
Co 0.5000 0.5000 0.5000
Lu 0.2500 0.2500 0.2500
Pa 0.7500 0.7500 0.7500
Ga 0.0000 0.0000 0.0000
CELL_PARAMETERS angstrom
4.8444 0.0000 0.0000
2.4222 4.1954 0.0000
2.4222 1.3985 3.9554
! **E_tot**: -0.2281 hartree per atom
! **D(E_F)**: 3.96 states/eV per cell

***

V? In order: 14.550 15.485 17.650 18.461 16.873 17.516 16.399 17.378 17.760 21.582 14.669 20.097 Å³ per atom.